This record from the Open Quantum Materials Database describes PmThPb after structural relaxation. The functional is PBE.

Cell and atoms, written as POSCAR:
```
PmThPb
1.0
7.515 0.000 0.000
0.000 7.515 0.000
0.000 0.000 7.515
Pm Th Pb
4 4 4
Direct
0.000 0.000 0.000 Pm
0.000 0.500 0.500 Pm
0.500 0.000 0.500 Pm
0.500 0.500 0.000 Pm
0.000 0.000 0.500 Th
0.000 0.500 0.000 Th
0.500 0.000 0.000 Th
0.500 0.500 0.500 Th
0.250 0.250 0.250 Pb
0.250 0.750 0.750 Pb
0.750 0.250 0.750 Pb
0.750 0.750 0.250 Pb
```

**Space group**: F-43m (216)
**Total magnetic moment**: 0.00 μB per formula unit
**E above lowest polymorph**: 0 meV/atom
**Density**: 9.14 g/cm³

***

This record from the Open Quantum Materials Database describes TlAgSeS after structural relaxation. The functional is PBE.

Cell and atoms, written as POSCAR:
```
TlAgSeS
1.0
8.630 0.000 0.000
0.000 8.630 0.000
-4.260 0.000 6.077
Tl Ag Se S
4 4 4 4
Direct
0.000 0.120 0.000 Tl
0.000 0.880 0.500 Tl
0.500 0.380 0.500 Tl
0.500 0.620 0.000 Tl
0.016 0.364 0.500 Ag
0.016 0.636 0.000 Ag
0.516 0.136 0.000 Ag
0.516 0.864 0.500 Ag
0.385 0.119 0.250 Se
0.385 0.881 0.750 Se
0.885 0.381 0.750 Se
0.885 0.619 0.250 Se
0.377 0.372 0.750 S
0.377 0.628 0.250 S
0.877 0.128 0.250 S
0.877 0.872 0.750 S
```

**Space group**: Cc (9)
**Total DFT energy (no corrections)**: -3.38 eV per atom
**Density**: 6.21 g/cm³

***

This record from the Open Quantum Materials Database describes Mg3Np after structural relaxation. The functional is PBE.

Cell and atoms, written as POSCAR:
```
Mg3Np
1.0
6.663 0.000 0.000
0.000 11.525 0.000
0.000 0.000 5.251
Mg Np
12 4
Direct
0.000 0.164 0.250 Mg
0.000 0.836 0.750 Mg
0.246 0.082 0.750 Mg
0.246 0.918 0.250 Mg
0.254 0.418 0.250 Mg
0.254 0.582 0.750 Mg
0.500 0.336 0.750 Mg
0.500 0.664 0.250 Mg
0.746 0.418 0.250 Mg
0.746 0.582 0.750 Mg
0.754 0.082 0.750 Mg
0.754 0.918 0.250 Mg
0.000 0.334 0.750 Np
0.000 0.666 0.250 Np
0.500 0.166 0.250 Np
0.500 0.834 0.750 Np
```

**Space group**: Cmcm (63)
**Total magnetic moment**: 5.10 μB per formula unit
**E above lowest polymorph**: 153 meV/atom
**Density**: 5.10 g/cm³

***

This record from the Open Quantum Materials Database describes Gd2HoCo2B2As3 after structural relaxation. The functional is PBE.

Cell and atoms, written as POSCAR:
```
Gd2HoCo2B2As3
1.0
-1.970 1.970 11.308
1.970 -1.970 11.308
1.970 1.970 -11.308
Gd Ho Co B As
2 1 2 2 3
Direct
0.144 0.144 0.000 Gd
0.856 0.856 0.000 Gd
0.500 0.500 0.000 Ho
0.250 0.750 0.500 Co
0.750 0.250 0.500 Co
0.282 0.282 0.000 B
0.718 0.718 0.000 B
0.000 0.000 0.000 As
0.376 0.376 0.000 As
0.624 0.624 0.000 As
```

**Space group**: I4/mmm (139)
**Total magnetic moment**: 0.00 μB per formula unit
**Total DFT energy (no corrections)**: -6.30 eV per atom
**Density**: 7.98 g/cm³

***

This record from the Open Quantum Materials Database describes Tb2SiPt after structural relaxation. The functional is PBE.

Cell and atoms, written as POSCAR:
```
Tb2SiPt
1.0
4.164 0.000 0.000
0.000 5.730 0.000
0.000 0.000 7.538
Tb Si Pt
4 2 2
Direct
0.000 0.113 0.000 Tb
0.000 0.887 0.500 Tb
0.500 0.377 0.356 Tb
0.500 0.623 0.856 Tb
0.000 0.383 0.638 Si
0.000 0.617 0.138 Si
0.500 0.115 0.720 Pt
0.500 0.885 0.220 Pt
```

**Space group**: Pmc2_1 (26)
**Total magnetic moment**: 0.00 μB per formula unit
**Total DFT energy (no corrections)**: -6.20 eV per atom
**Density**: 9.99 g/cm³

***

This record from the Open Quantum Materials Database describes Cu7Ag3 after structural relaxation. The functional is PBE.

Cell and atoms, written as POSCAR:
```
Cu7Ag3
1.0
2.765 0.000 0.000
0.000 3.469 0.000
0.000 0.000 14.273
Cu Ag
7 3
Direct
0.000 0.000 0.000 Cu
0.000 0.000 0.390 Cu
0.000 0.000 0.610 Cu
0.500 0.500 0.088 Cu
0.500 0.500 0.305 Cu
0.500 0.500 0.695 Cu
0.500 0.500 0.912 Cu
0.000 0.000 0.196 Ag
0.000 0.000 0.804 Ag
0.500 0.500 0.500 Ag
```

**Space group**: Pmmm (47)
**ΔE_f**: 83.3 meV/atom
**E above lowest polymorph**: 39 meV/atom
**Density**: 9.32 g/cm³

***

This record from the Open Quantum Materials Database describes LaNdB4Os4 after structural relaxation. The functional is PBE.

Cell and atoms, written as POSCAR:
```
LaNdB4Os4
1.0
0.000 4.588 5.064
3.305 0.000 5.064
3.305 4.588 0.000
La Nd B Os
1 1 4 4
Direct
0.000 0.000 0.000 La
0.250 0.250 0.250 Nd
0.317 0.683 0.317 B
0.566 0.934 0.566 B
0.683 0.317 0.683 B
0.934 0.566 0.934 B
0.363 0.363 0.637 Os
0.613 0.613 0.887 Os
0.637 0.637 0.363 Os
0.887 0.887 0.613 Os
```

**Space group**: F222 (22)
**Total magnetic moment**: 0.00 μB per formula unit
**Total DFT energy (no corrections)**: -8.57 eV per atom
**Density**: 11.76 g/cm³

***

This record from the Open Quantum Materials Database describes Pm3Sm2Er after structural relaxation. The functional is PBE.

Cell and atoms, written as POSCAR:
```
Pm3Sm2Er
1.0
5.444 -3.143 0.000
5.444 3.143 0.000
0.000 0.000 11.663
Pm Sm Er
6 4 2
Direct
0.000 0.000 0.000 Pm
0.000 0.000 0.500 Pm
0.335 0.335 0.000 Pm
0.335 0.335 0.500 Pm
0.665 0.665 0.000 Pm
0.665 0.665 0.500 Pm
0.000 0.334 0.250 Sm
0.000 0.666 0.750 Sm
0.334 0.000 0.750 Sm
0.666 0.000 0.250 Sm
0.333 0.667 0.250 Er
0.667 0.333 0.750 Er
```

**Space group**: Cmcm (63)
**ΔE_f**: -4.5 meV/atom
**Total magnetic moment**: 0.01 μB per formula unit
**Density**: 7.51 g/cm³